No. 1
Density functional theory data (SCAN) for Y2CoHg at its PBEsol-relaxed geometry.

The space group is I-4m2 (No. 119) and the conventional cell measures 4.240, 4.240 and 9.157 Å, with angles of 90.00, 90.00 and 90.00 degrees. Symmetry generates all atoms from Y at (0.000, 0.000, 0.000), Y at (0.000, 0.500, 0.250), Co at (0.000, 0.000, 0.500) and Hg at (0.000, 0.500, 0.750).

The crystal system is tetragonal. The density comes out at 8.82 g/cm3. The calculated volume comes out at 20.58 Å³/atom. The value obtained for the final energy is -35.41 eV/atom. Its formation enthalpy at 0 K is -122 meV per atom.

---

No. 2
Density functional theory data (SCAN) for Y2CoHg at its PBEsol-relaxed geometry.

The space group is P4/mmm (No. 123) and the conventional cell measures 3.365, 3.365 and 7.482 Å, with angles of 90.00, 90.00 and 90.00 degrees. Symmetry generates all atoms from Y at (0.000, 0.000, 0.216), Co at (0.500, 0.500, 0.000) and Hg at (0.500, 0.500, 0.500).

The crystal system is tetragonal. The density comes out at 8.57 g/cm3. The calculated volume comes out at 21.18 Å³/atom. The value obtained for the final energy is -35.77 eV/atom. Its formation enthalpy at 0 K is -483 meV per atom.

---

No. 3
Density functional theory data (SCAN) for Y2CoHg at its PBEsol-relaxed geometry.

The space group is Amm2 (No. 38) and the conventional cell measures 4.332, 3.835 and 10.605 Å, with angles of 90.00, 90.00 and 90.00 degrees. Symmetry generates all atoms from Y at (0.000, 0.000, 0.000), Y at (0.500, 0.000, 0.293), Co at (0.000, 0.000, 0.733) and Hg at (0.500, 0.000, 0.579).

The crystal system is orthorhombic. The density comes out at 8.24 g/cm3. The calculated volume comes out at 22.02 Å³/atom. The value obtained for the final energy is -35.57 eV/atom. Its formation enthalpy at 0 K is -285 meV per atom.

---

No. 4
Density functional theory data (SCAN) for YCoHg2 at its PBEsol-relaxed geometry.

The space group is P4/mmm (No. 123) and the conventional cell measures 3.385, 3.385 and 6.722 Å, with angles of 90.00, 90.00 and 90.00 degrees. Symmetry generates all atoms from Y at (0.000, 0.000, 0.000), Co at (0.000, 0.000, 0.500) and Hg at (0.500, 0.500, 0.290).

The crystal system is tetragonal. The density comes out at 11.83 g/cm3. The calculated volume comes out at 19.26 Å³/atom. The value obtained for the final energy is -45.48 eV/atom. Its formation enthalpy at 0 K is -105 meV per atom.